ScReMo2 PBE optimized geometry; magnetic moment = 0.00 μB per cell; SG = No. 6; energy above the most stable polymorph in this dataset = 68 meV per atom
1.0
2.795 0.000 0.000
0.000 4.490 0.000
-0.930 0.000 5.208
Sc Re Mo
1 1 2
Direct
0.000 0.000 0.000
0.277 0.500 0.750
0.507 0.000 0.504
0.729 0.500 0.249